First-principles (meta-GGA SCAN) data for a PBEsol-optimized structure of LaScCo3, as listed in Alexandria.

**Raw total energy**: -105.64 eV for the cell shown

Structure (POSCAR):
```
LaScCo3
1.0
4.471 0.000 0.000
0.000 4.471 0.000
0.000 0.000 4.471
Sc Co La
1 3 1
Direct
0.000 0.000 0.000
0.000 0.500 0.000
0.000 0.000 0.500
0.500 0.000 0.000
0.500 0.500 0.500
```